(1)
DFT (PBE) results for a relaxed BeReAsO crystal.

* ΔE to the lowest computed polymorph: 0.0 meV/atom
* SG: P4/nmm, No. 129
* total DFT energy (no corrections): -7.283 eV per atom
* crystal system: tetragonal

Lattice parameters (Å, degrees): 3.560 3.560 9.491 90.00 90.00 90.00
Atoms (fractional coordinates):
1 As 0.750 0.750 0.303
2 As 0.250 0.250 0.697
3 Be 0.750 0.750 0.008
4 Be 0.250 0.250 0.992
5 O 0.750 0.250 0.000
6 O 0.250 0.750 0.000
7 Re 0.750 0.250 0.500
8 Re 0.250 0.750 0.500

***

(2)
DFT (PBE) results for a relaxed Sr4AgAs2Au crystal.

* SG: Amm2, No. 38
* total DFT energy (no corrections): -3.543 eV per atom
* crystal system: orthorhombic

Lattice parameters (Å, degrees): 5.928 10.482 10.482 24.20 90.00 90.00
Atoms (fractional coordinates):
1 Ag 0.000 0.542 0.542
2 As 0.000 0.319 0.319
3 As 0.500 0.680 0.680
4 Au 0.500 0.461 0.461
5 Sr 0.500 0.078 0.078
6 Sr 0.500 0.289 0.289
7 Sr 0.000 0.711 0.711
8 Sr 0.000 0.920 0.920

***

(3)
DFT (PBE) results for a relaxed KNdHgTe3 crystal.

* SG: P2_1/m, No. 11
* total DFT energy (no corrections): -3.559 eV per atom
* crystal system: monoclinic

Lattice parameters (Å, degrees): 9.233 4.592 11.205 90.00 106.98 90.00
Atoms (fractional coordinates):
1 Hg 0.088 0.250 0.118
2 Hg 0.912 0.750 0.882
3 K 0.757 0.750 0.224
4 K 0.243 0.250 0.776
5 Nd 0.314 0.750 0.362
6 Nd 0.686 0.250 0.638
7 Te 0.243 0.750 0.050
8 Te 0.546 0.250 0.347
9 Te 0.068 0.250 0.364
10 Te 0.932 0.750 0.636
11 Te 0.454 0.750 0.653
12 Te 0.757 0.250 0.950

***

(4)
DFT (PBE) results for a relaxed RbAgPtSe2S crystal.

* SG: Cmcm, No. 63
* total DFT energy (no corrections): -3.826 eV per atom
* crystal system: orthorhombic

Lattice parameters (Å, degrees): 7.780 7.780 10.507 90.00 90.00 150.96
Atoms (fractional coordinates):
1 Ag 0.440 0.560 0.250
2 Ag 0.560 0.440 0.750
3 Pt 0.000 0.000 0.000
4 Pt 0.000 0.000 0.500
5 Rb 0.739 0.261 0.250
6 Rb 0.261 0.739 0.750
7 S 0.047 0.953 0.250
8 S 0.953 0.047 0.750
9 Se 0.391 0.609 0.016
10 Se 0.391 0.609 0.484
11 Se 0.609 0.391 0.516
12 Se 0.609 0.391 0.984

***

(5)
DFT (PBE) results for a relaxed Er3Si4Ni crystal.

* SG: Pm, No. 6
* total DFT energy (no corrections): -5.749 eV per atom
* crystal system: monoclinic

Lattice parameters (Å, degrees): 5.545 3.755 7.471 90.00 100.13 90.00
Atoms (fractional coordinates):
1 Er 0.341 0.500 0.195
2 Er 0.872 0.000 0.330
3 Er 0.202 0.500 0.721
4 Ni 0.708 0.000 0.751
5 Si 0.392 0.000 0.488
6 Si 0.680 0.500 0.557
7 Si 0.046 0.000 0.976
8 Si 0.759 0.500 0.982

***

(6)
DFT (PBE) results for a relaxed Li4Nd3Ge4 crystal.

* SG: Immm, No. 71
* total DFT energy (no corrections): -4.344 eV per atom
* crystal system: orthorhombic

Lattice parameters (Å, degrees): 8.405 8.405 8.405 149.48 132.04 57.92
Atoms (fractional coordinates):
1 Ge 0.314 0.000 0.314
2 Ge 0.786 0.286 0.500
3 Ge 0.214 0.714 0.500
4 Ge 0.686 0.000 0.686
5 Li 0.361 0.171 0.190
6 Li 0.019 0.829 0.190
7 Li 0.981 0.171 0.810
8 Li 0.639 0.829 0.810
9 Nd 0.369 0.369 0.000
10 Nd 0.631 0.631 0.000
11 Nd 0.000 0.500 0.500

***

(7)
DFT (PBE) results for a relaxed Tc2PCl2 crystal.

* SG: P4/mmm, No. 123
* total DFT energy (no corrections): -5.217 eV per atom
* crystal system: tetragonal

Lattice parameters (Å, degrees): 3.936 3.936 5.752 90.00 90.00 90.00
Atoms (fractional coordinates):
1 Cl 0.500 0.000 0.500
2 Cl 0.000 0.500 0.500
3 P 0.000 0.000 0.000
4 Tc 0.500 0.500 0.187
5 Tc 0.500 0.500 0.813

***

(8)
DFT (PBE) results for a relaxed Hf3Bi crystal.

* SG: P2_1/m, No. 11
* total DFT energy (no corrections): -8.585 eV per atom
* crystal system: monoclinic

Lattice parameters (Å, degrees): 6.893 4.084 7.309 90.00 114.96 90.00
Atoms (fractional coordinates):
1 Bi 0.267 0.250 0.357
2 Bi 0.733 0.750 0.643
3 Hf 0.438 0.750 0.118
4 Hf 0.915 0.750 0.121
5 Hf 0.805 0.250 0.365
6 Hf 0.195 0.750 0.635
7 Hf 0.085 0.250 0.879
8 Hf 0.562 0.250 0.882

***

(9)
DFT (PBE) results for a relaxed PrInAu crystal.

* SG: P-62m, No. 189
* total DFT energy (no corrections): -3.894 eV per atom
* crystal system: hexagonal

Lattice parameters (Å, degrees): 8.378 8.378 3.710 90.00 90.00 120.00
Atoms (fractional coordinates):
1 Au 0.635 0.000 0.000
2 Au 0.365 0.365 0.000
3 Au 0.000 0.635 0.000
4 In 0.000 0.000 0.000
5 In 0.667 0.333 0.500
6 In 0.333 0.667 0.500
7 Pr 0.292 0.000 0.500
8 Pr 0.000 0.292 0.500
9 Pr 0.708 0.708 0.500

***

(10)
DFT (PBE) results for a relaxed PuNbFe crystal.

* ΔE to the lowest computed polymorph: 0.0 meV/atom
* SG: F-43m, No. 216
* energy of formation: 2.4 eV per formula unit
* total DFT energy (no corrections): -10.029 eV per atom
* crystal system: cubic

Lattice parameters (Å, degrees): 4.237 4.237 4.237 60.00 60.00 60.00
Atoms (fractional coordinates):
1 Fe 0.000 0.000 0.000
2 Nb 0.750 0.750 0.750
3 Pu 0.250 0.250 0.250

***

(11)
DFT (PBE) results for a relaxed ScNbSn2Pt2 crystal.

* SG: Pmn2_1, No. 31
* total DFT energy (no corrections): -6.925 eV per atom
* crystal system: orthorhombic

Lattice parameters (Å, degrees): 6.318 4.464 8.943 90.00 90.00 90.00
Atoms (fractional coordinates):
1 Nb 0.497 0.500 0.126
2 Nb 0.997 0.000 0.874
3 Pt 0.740 0.000 0.117
4 Pt 0.260 0.500 0.366
5 Pt 0.760 0.000 0.634
6 Pt 0.240 0.500 0.883
7 Sc 0.003 0.000 0.377
8 Sc 0.503 0.500 0.623
9 Sn 0.992 0.500 0.129
10 Sn 0.508 0.000 0.378
11 Sn 0.008 0.500 0.622
12 Sn 0.492 0.000 0.871

***

(12)
DFT (PBE) results for a relaxed KPrPt crystal.

* SG: F-43m, No. 216
* total DFT energy (no corrections): -4.201 eV per atom
* crystal system: cubic

Lattice parameters (Å, degrees): 5.111 5.111 5.111 60.00 60.00 60.00
Atoms (fractional coordinates):
1 K 0.250 0.250 0.250
2 Pr 0.750 0.750 0.750
3 Pt 0.000 0.000 0.000

***

(13)
DFT (PBE) results for a relaxed NdTc2O4 crystal.

* SG: Fd-3m, No. 227
* total DFT energy (no corrections): -7.929 eV per atom
* crystal system: cubic

Lattice parameters (Å, degrees): 6.424 6.424 6.424 119.99 90.02 119.99
Atoms (fractional coordinates):
1 Nd 0.000 0.000 0.000
2 Nd 0.750 0.500 0.250
3 O 0.177 0.785 0.392
4 O 0.608 0.215 0.392
5 O 0.608 0.785 0.392
6 O 0.142 0.285 0.427
7 O 0.608 0.215 0.823
8 O 0.142 0.715 0.858
9 O 0.142 0.285 0.858
10 O 0.573 0.715 0.858
11 Tc 0.375 0.750 0.125
12 Tc 0.375 0.750 0.625
13 Tc 0.375 0.250 0.625
14 Tc 0.875 0.250 0.625

***

(14)
DFT (PBE) results for a relaxed TaTlCuIr crystal.

* ΔE to the lowest computed polymorph: 323.2 meV/atom
* SG: F-43m, No. 216
* total DFT energy (no corrections): -6.237 eV per atom
* crystal system: cubic

Lattice parameters (Å, degrees): 4.537 4.537 4.537 60.00 60.00 60.00
Atoms (fractional coordinates):
1 Cu 0.750 0.750 0.750
2 Ir 0.500 0.500 0.500
3 Ta 0.000 0.000 0.000
4 Tl 0.250 0.250 0.250

***

(15)
DFT (PBE) results for a relaxed TcSe2I crystal.

* SG: P-1, No. 2
* total DFT energy (no corrections): -4.928 eV per atom
* crystal system: triclinic

Lattice parameters (Å, degrees): 5.550 5.851 8.704 74.01 85.28 85.27
Atoms (fractional coordinates):
1 I 0.779 0.781 0.373
2 I 0.221 0.219 0.627
3 Se 0.036 0.226 0.116
4 Se 0.427 0.675 0.117
5 Se 0.573 0.325 0.883
6 Se 0.964 0.774 0.884
7 Tc 0.738 0.967 0.052
8 Tc 0.262 0.033 0.948

***

(16)
DFT (PBE) results for a relaxed CdNi2I3 crystal.

* SG: P6/mmm, No. 191
* total DFT energy (no corrections): -2.501 eV per atom
* crystal system: hexagonal

Lattice parameters (Å, degrees): 7.389 7.389 3.448 90.00 90.00 120.01
Atoms (fractional coordinates):
1 Cd 0.000 0.000 0.000
2 I 0.500 0.000 0.500
3 I 0.000 0.500 0.500
4 I 0.500 0.500 0.500
5 Ni 0.667 0.333 0.000
6 Ni 0.333 0.667 0.000

***

(17)
DFT (PBE) results for a relaxed SnMoW2 crystal.

* SG: F-43m, No. 216
* total DFT energy (no corrections): -9.800 eV per atom
* crystal system: cubic

Lattice parameters (Å, degrees): 4.585 4.585 4.585 60.00 60.00 60.00
Atoms (fractional coordinates):
1 Mo 0.250 0.250 0.250
2 Sn 0.500 0.500 0.500
3 W 0.000 0.000 0.000
4 W 0.750 0.750 0.750

***

(18)
DFT (PBE) results for a relaxed LuFeCu crystal.

* SG: Pnma, No. 62
* energy of formation: -0.1 eV per formula unit
* total DFT energy (no corrections): -5.556 eV per atom
* crystal system: orthorhombic

Lattice parameters (Å, degrees): 6.753 4.001 7.433 90.00 90.00 90.00
Atoms (fractional coordinates):
1 Cu 0.233 0.250 0.122
2 Cu 0.733 0.250 0.378
3 Cu 0.267 0.750 0.622
4 Cu 0.767 0.750 0.878
5 Fe 0.873 0.250 0.055
6 Fe 0.373 0.250 0.445
7 Fe 0.627 0.750 0.555
8 Fe 0.127 0.750 0.945
9 Lu 0.526 0.750 0.187
10 Lu 0.026 0.750 0.313
11 Lu 0.974 0.250 0.687
12 Lu 0.474 0.250 0.813

***

(19)
DFT (PBE) results for a relaxed Hf2PtPb2 crystal.

* SG: I4/mmm, No. 139
* total DFT energy (no corrections): -6.099 eV per atom
* crystal system: tetragonal

Lattice parameters (Å, degrees): 7.269 7.269 7.269 146.80 146.80 47.66
Atoms (fractional coordinates):
1 Hf 0.408 0.408 0.000
2 Hf 0.592 0.592 0.000
3 Pb 0.750 0.250 0.500
4 Pb 0.250 0.750 0.500
5 Pt 0.000 0.000 0.000

***

(20)
DFT (PBE) results for a relaxed Ac2Zr2O5 crystal.

* ΔE to the lowest computed polymorph: 1153.9 meV/atom
* SG: P4/mmm, No. 123
* total DFT energy (no corrections): -7.229 eV per atom
* crystal system: tetragonal

Lattice parameters (Å, degrees): 10.155 4.007 4.007 90.00 90.00 90.00
Atoms (fractional coordinates):
1 Ac 0.254 0.500 0.500
2 Ac 0.746 0.500 0.500
3 O 0.365 0.500 0.000
4 O 0.635 0.500 0.000
5 O 0.365 0.000 0.500
6 O 0.635 0.000 0.500
7 O 0.500 0.500 0.500
8 Zr 0.000 0.000 0.000
9 Zr 0.500 0.000 0.000